[1]
GGA-PBE AlReOs2, optimized geometry; E_form = 143 meV/atom
1.0
2.889 0.000 0.000
0.000 4.424 0.000
0.000 0.000 4.534
Al Re Os
1 1 2
Direct
0.000 0.000 0.000
0.500 0.000 0.500
0.000 0.500 0.500
0.500 0.500 0.000

[2]
GGA-PBE AlReOs2, optimized geometry; E_form = -19 meV/atom
1.0
1.386 0.800 8.739
-1.386 0.800 8.739
0.000 -1.600 8.739
Al Re Os
1 1 2
Direct
0.000 0.000 0.000
0.752 0.752 0.752
0.251 0.251 0.251
0.500 0.500 0.500

[3]
GGA-PBE AlRe3Os, optimized geometry; energy above the lowest structure with this stoichiometry = 252.3 meV/atom; E_form = 2128 meV/atom
1.0
4.701 0.000 0.000
0.000 4.701 0.000
0.000 0.000 4.701
Al Re Os
1 3 1
Direct
0.000 0.000 0.000
0.000 0.500 0.500
0.500 0.000 0.500
0.500 0.500 0.000
0.500 0.500 0.500

[4]
GGA-PBE AlReOs2, optimized geometry; E_form = 299 meV/atom
1.0
1.437 -2.323 0.000
1.437 2.323 0.000
0.000 0.000 8.812
Al Re Os
1 1 2
Direct
0.000 0.000 0.000
0.500 0.500 0.252
0.000 0.000 0.502
0.500 0.500 0.763